Here is a relaxed structure of La2CePt4 from Alexandria via LeMat-Bulk. Energies are from PBE.

calculated formation energy: -0.632 eV/atom
total moment: 0.000 μB per cell

abc: 5.1167 5.1167 8.3723
angles: 107.79 107.79 90.00
Element x y z (fractional)
La: 0.6412 0.6412 0.2823
La: 0.3588 0.3588 0.7177
Ce: 0.0000 0.0000 0.0000
Pt: 0.8211 0.8211 0.6422
Pt: 0.1789 0.1789 0.3578
Pt: 0.0000 0.5000 0.0000
Pt: 0.5000 0.0000 0.0000



Here is a relaxed structure of La2CePt from Alexandria via LeMat-Bulk. Energies are from PBE.

distance to the lowest polymorph of the same formula: 0.000 eV/atom
calculated formation energy: -0.473 eV/atom
total moment: 0.001 μB per cell

abc: 3.7121 3.7121 8.0522
angles: 90.00 90.00 90.00
Element x y z (fractional)
Ce: 0.5000 0.5000 0.5000
Pt: 0.5000 0.5000 0.0000
La: 0.0000 0.0000 0.7857
La: 0.0000 0.0000 0.2143



Here is a relaxed structure of LaCePt from Alexandria via LeMat-Bulk. Energies are from PBE.

distance to the lowest polymorph of the same formula: 0.137 eV/atom
calculated formation energy: -0.616 eV/atom
total moment: 1.503 μB per cell

abc: 5.0209 5.0209 5.0209
angles: 60.00 60.00 60.00
Element x y z (fractional)
Ce: 0.5000 0.5000 0.5000
Pt: 0.2500 0.2500 0.2500
La: 0.0000 0.0000 0.0000



Here is a relaxed structure of La3CePt3 from Alexandria via LeMat-Bulk. Energies are from PBE.

calculated formation energy: -0.976 eV/atom
total moment: 4.491 μB per cell

abc: 4.2129 12.5556 14.7988
angles: 90.00 90.00 90.00
Element x y z (fractional)
La: 0.7500 0.7474 0.8014
La: 0.2500 0.7526 0.3014
La: 0.2500 0.2526 0.1986
La: 0.7500 0.2474 0.6986
La: 0.7500 0.1781 0.9824
La: 0.2500 0.3219 0.4824
La: 0.2500 0.8219 0.0176
La: 0.7500 0.6781 0.5176
La: 0.7500 0.9463 0.5989
La: 0.2500 0.5537 0.0989
La: 0.2500 0.0537 0.4011
La: 0.7500 0.4463 0.9011
Ce: 0.7500 0.9733 0.1909
Ce: 0.2500 0.5267 0.6909
Ce: 0.2500 0.0267 0.8091
Ce: 0.7500 0.4733 0.3091
Pt: 0.7500 0.9460 0.9198
Pt: 0.2500 0.5540 0.4198
Pt: 0.2500 0.0540 0.0802
Pt: 0.7500 0.4460 0.5802
Pt: 0.7500 0.8888 0.3943
Pt: 0.2500 0.6112 0.8943
Pt: 0.2500 0.1112 0.6057
Pt: 0.7500 0.3888 0.1057
Pt: 0.7500 0.7353 0.1548
Pt: 0.2500 0.7647 0.6548
Pt: 0.2500 0.2647 0.8452
Pt: 0.7500 0.2353 0.3452



Here is a relaxed structure of LaCe2Pt2 from Alexandria via LeMat-Bulk. Energies are from PBE.

distance to the lowest polymorph of the same formula: 0.027 eV/atom
calculated formation energy: -0.745 eV/atom
total moment: 0.000 μB per cell

abc: 4.2885 4.2885 7.3106
angles: 104.02 104.02 90.96
Element x y z (fractional)
La: 0.0000 0.0000 0.0000
Ce: 0.2326 0.7674 0.5000
Ce: 0.7674 0.2326 0.5000
Pt: 0.5997 0.5997 0.1941
Pt: 0.4003 0.4003 0.8059



Here is a relaxed structure of La4CePt5 from Alexandria via LeMat-Bulk. Energies are from PBE.

calculated formation energy: -1.140 eV/atom
total moment: 0.486 μB per cell

abc: 5.9850 7.3345 7.3345
angles: 80.42 65.92 65.92
Element x y z (fractional)
La: 0.4020 0.3979 0.8000
La: 0.7999 0.8000 0.6021
La: 0.2021 0.2000 0.3979
La: 0.6000 0.6021 0.2000
Ce: 0.0010 0.0000 0.0000
Pt: 0.9042 0.3897 0.8041
Pt: 0.2938 0.8041 0.6103
Pt: 0.7082 0.1959 0.3897
Pt: 0.0979 0.6103 0.1959
Pt: 0.5011 0.0000 0.0000



Here is a relaxed structure of La2CePt from Alexandria via LeMat-Bulk. Energies are from PBE.

distance to the lowest polymorph of the same formula: 0.067 eV/atom
calculated formation energy: -0.406 eV/atom
total moment: 1.909 μB per cell

abc: 4.0263 4.0263 9.8564
angles: 78.18 78.18 59.94
Element x y z (fractional)
La: 0.0622 0.0622 0.8139
La: 0.2717 0.2717 0.1864
Ce: 0.4996 0.4996 0.4985
Pt: 0.6665 0.6665 0.0012



Here is a relaxed structure of LaCe3Pt4 from Alexandria via LeMat-Bulk. Energies are from PBE.

distance to the lowest polymorph of the same formula: 0.000 eV/atom
calculated formation energy: -1.077 eV/atom
total moment: 2.906 μB per cell

abc: 7.2186 7.2233 8.3276
angles: 90.00 90.00 109.49
Element x y z (fractional)
Pt: 0.0050 0.2535 0.6200
Pt: 0.4995 0.2594 0.8704
Pt: 0.5050 0.2535 0.3800
Pt: 0.9995 0.2594 0.1296
Pt: 0.0005 0.7406 0.8704
Pt: 0.4950 0.7465 0.6200
Pt: 0.5005 0.7406 0.1296
Pt: 0.9950 0.7465 0.3800
Ce: 0.7500 0.0000 0.3757
Ce: 0.2500 0.0000 0.6243
Ce: 0.7500 0.5000 0.6244
Ce: 0.7500 0.5000 0.1263
Ce: 0.2500 0.5000 0.3756
Ce: 0.2500 0.5000 0.8737
La: 0.7500 0.0000 0.8740
La: 0.2500 0.0000 0.1260



Here is a relaxed structure of LaCePtRh from Alexandria via LeMat-Bulk. Energies are from PBE.

distance to the lowest polymorph of the same formula: 0.000 eV/atom
calculated formation energy: -0.949 eV/atom
total moment: 0.465 μB per cell

abc: 3.9304 4.2684 6.0029
angles: 90.00 109.11 90.00
Element x y z (fractional)
La: 0.1429 0.0000 0.2857
Ce: 0.8687 0.5000 0.7374
Pt: 0.5875 0.5000 0.1751
Rh: 0.4009 0.0000 0.8017



Here is a relaxed structure of LaCePtRh from Alexandria via LeMat-Bulk. Energies are from PBE.

distance to the lowest polymorph of the same formula: 0.121 eV/atom
calculated formation energy: -0.828 eV/atom
total moment: 1.016 μB per cell

abc: 5.0623 5.0623 5.0623
angles: 60.00 60.00 60.00
Element x y z (fractional)
Rh: 0.2500 0.2500 0.2500
Ce: 0.0000 0.0000 0.0000
Pt: 0.7500 0.7500 0.7500
La: 0.5000 0.5000 0.5000



Here is a relaxed structure of LaCeRuPt from Alexandria via LeMat-Bulk. Energies are from PBE.

calculated formation energy: -0.591 eV/atom
total moment: 0.362 μB per cell

abc: 5.0345 5.0345 5.0345
angles: 60.00 60.00 60.00
Element x y z (fractional)
Ru: 0.2500 0.2500 0.2500
Ce: 0.0000 0.0000 0.0000
Pt: 0.7500 0.7500 0.7500
La: 0.5000 0.5000 0.5000



Here is a relaxed structure of La2CeSi3Pt4 from Alexandria via LeMat-Bulk. Energies are from PBE.

E: -6.660 eV per atom
total moment: 0.000 μB per cell

abc: 4.3429 4.3429 10.8626
angles: 90.00 90.00 90.00
Element x y z (fractional)
La: 0.5000 0.0000 0.2299
La: 0.0000 0.5000 0.7701
Ce: 0.5000 0.5000 0.5000
Si: 0.0000 0.0000 0.5000
Si: 0.5000 0.0000 0.8858
Si: 0.0000 0.5000 0.1142
Pt: 0.5000 0.5000 0.0000
Pt: 0.0000 0.0000 0.0000
Pt: 0.5000 0.0000 0.6642
Pt: 0.0000 0.5000 0.3358